The following is a DFT calculation (PBE-GGA) of a relaxed structure of YSbSN2.

Values from the calculation:
The energy above the most stable polymorph in this dataset is 0.0 meV/atom. The value obtained for the raw total energy is -6.16 eV/atom. The calculated density is 5.39 g cm⁻³. The calculation puts the formation energy without anion corrections at 0.12 eV/atom.

Cell lengths 4.0882, 4.0882, 4.9921 Å; angles 90.00, 90.00, 90.00 degrees
Atoms (fractional coordinates):
N (0.0000, 0.5000, 0.0000)
N (0.5000, 0.0000, 0.0000)
Y (0.5000, 0.5000, 0.5000)
Sb (0.0000, 0.0000, 0.0000)
S (0.0000, 0.0000, 0.5000)